Here is crystalline AcDy2MoO8 at its relaxed geometry from the Alexandria database. Energies are from PBE+U.

Cell: 5.0558 7.1568 5.0558 Å, 90.00 90.35 90.00°
Last column: nearest neighbours and their distance in Å.
Space group P2/m (No. 10)
Unique sites:
Ac1 0.0000 0.0000 0.0000  6 O 2.34-2.53
Dy1 0.5000 0.2662 0.5000  6 O 2.27-2.31
Mo1 0.0000 0.5000 0.0000  6 O 1.95-1.97
O1 0.1863 0.3012 0.8150  1 Mo 1.95
O2 0.2761 0.5000 0.2776  1 Mo 1.97
O3 0.3273 0.0000 0.3288  2 Dy 2.27, 1 Ac 2.34, 1 O 2.45

Values from the calculation:
Raw total energy   -7.670 eV per atom
DOS(E_F)   4.298 states/eV/f.u.